*i*
# KTl3Pb3 (GGA-PBE, optimized geometry)
# crystal system	hexagonal
data_KTl3Pb3
_chemical_formula_sum 'K2 Tl6 Pb6'
_cell_length_a 9.4213
_cell_length_b 9.4213
_cell_length_c 6.0372
_cell_angle_alpha 90.00
_cell_angle_beta 90.00
_cell_angle_gamma 120.00
_symmetry_space_group_name_H-M 'P 63/m'
_symmetry_Int_Tables_number 176
_symmetry_space_group_name_Hall '-P 6c'
loop_
_atom_site_label
_atom_site_type_symbol
_atom_site_fract_x
_atom_site_fract_y
_atom_site_fract_z
_atom_site_occupancy
K1 K 0.3333 0.6667 0.2500 1
Tl1 Tl 0.0965 0.6447 0.7500 1
Pb1 Pb 0.0459 0.8207 0.2500 1

---

*ii*
# KTl3Pb3 (GGA-PBE, optimized geometry)
# crystal system	cubic
data_KTl3Pb3
_chemical_formula_sum 'K2 Tl6 Pb6'
_cell_length_a 8.545
_cell_length_b 8.545
_cell_length_c 8.545
_cell_angle_alpha 90.00
_cell_angle_beta 90.00
_cell_angle_gamma 90.00
_symmetry_space_group_name_H-M 'P m -3 n'
_symmetry_Int_Tables_number 223
_symmetry_space_group_name_Hall '-P 4n 2 3'
loop_
_atom_site_label
_atom_site_type_symbol
_atom_site_fract_x
_atom_site_fract_y
_atom_site_fract_z
_atom_site_occupancy
K1 K 0.000 0.000 0.000 1
Tl1 Tl 0.000 0.250 0.500 1
Pb1 Pb 0.000 0.500 0.250 1

---

*i* is favored, and the nearest alternative lies 21.6 kJ/mol of atoms above it.